1.
First-principles (meta-GGA SCAN) data for a PBEsol-optimized structure of BeSnPb2, as listed in Alexandria via LeMat-Bulk.

It has space group Fm-3m (No. 225), with a = 7.341 Å, b = 7.341 Å, c = 7.341 Å, α = 90.00°, β = 90.00° and γ = 90.00°. The asymmetric unit holds Be at (0.000, 0.000, 0.000), Sn at (0.000, 0.000, 0.500) and Pb at (0.250, 0.250, 0.250).

The density is 9.10 g cm⁻³. The value obtained for the calculated volume is 395.6 Å³/cell. Its total magnetization is 0.00 μB per formula unit. The value obtained for the total energy is -758.10 eV per cell.

2.
First-principles (meta-GGA SCAN) data for a PBEsol-optimized structure of YAlCd, as listed in Alexandria via LeMat-Bulk.

It has space group P-6m2 (No. 187), with a = 4.6618 Å, b = 4.6618 Å, c = 3.4931 Å, α = 90.00°, β = 90.00° and γ = 120.00°. The asymmetric unit holds Y at (0.0000, 0.0000, 0.0000), Al at (0.3333, 0.6667, 0.5000) and Cd at (0.6667, 0.3333, 0.5000).

The density is 5.77 g cm⁻³. The value obtained for the calculated volume is 65.7 Å³/cell. Its total magnetization is 0.19 μB per formula unit. The value obtained for the total energy is -67.51 eV per cell.

3.
First-principles (meta-GGA SCAN) data for a PBEsol-optimized structure of CdMoAs2, as listed in Alexandria via LeMat-Bulk.

It has space group Cmm2 (No. 35), with a = 3.371 Å, b = 4.559 Å, c = 9.712 Å, α = 90.00°, β = 90.00° and γ = 90.00°. The asymmetric unit holds Cd at (0.000, 0.000, 0.000), Mo at (0.000, 0.500, 0.757), As at (0.000, 0.000, 0.562) and As at (0.000, 0.500, 0.243).

The density is 7.97 g cm⁻³. The value obtained for the calculated volume is 149.3 Å³/cell. Its total magnetization is 0.00 μB per formula unit. The value obtained for the total energy is -209.08 eV per cell.